# CuOs2Pb (SCAN, single point on PBEsol structure)
data_CuOs2Pb
_chemical_formula_sum 'Cu2 Os4 Pb2'
_cell_length_a 3.911
_cell_length_b 3.911
_cell_length_c 8.128
_cell_angle_alpha 90.00
_cell_angle_beta 90.00
_cell_angle_gamma 90.00
_space_group_name_H-M_alt 'I 4/m m m'
_space_group_IT_number 139
_space_group_name_Hall '-I 4 2'
loop_
_atom_site_label
_atom_site_fract_x
_atom_site_fract_y
_atom_site_fract_z
Cu1 0.000 0.000 0.000
Os1 0.000 0.500 0.250
Pb1 0.000 0.000 0.500
# Energy of formation from the pure elements: 1.064 eV per atom
# Magnetization: 0.004 μB/cell

# CuOsPb2 (SCAN, single point on PBEsol structure)
data_CuOsPb2
_chemical_formula_sum 'Cu1 Os1 Pb2'
_cell_length_a 3.409
_cell_length_b 4.286
_cell_length_c 5.361
_cell_angle_alpha 90.00
_cell_angle_beta 90.00
_cell_angle_gamma 90.00
_space_group_name_H-M_alt 'P m m m'
_space_group_IT_number 47
_space_group_name_Hall '-P 2 2'
loop_
_atom_site_label
_atom_site_fract_x
_atom_site_fract_y
_atom_site_fract_z
Cu1 0.000 0.000 0.000
Os1 0.500 0.000 0.500
Pb1 0.000 0.500 0.500
Pb2 0.500 0.500 0.000
# Energy of formation from the pure elements: 0.971 eV per atom
# Magnetization: 0.000 μB/cell